(1)
# BaAcIrBr | Alexandria | GGA-PBE | optimized geometry
# E = -5.16 eV/atom
# Density = 7.54 g cm⁻³
# Space group = R3m (160)
# Uncorrected formation energy = -99 kJ per mole of atoms
data_BaAcIrBr
_chemical_formula_sum 'Ba3 Ac3 Ir3 Br3'
_symmetry_space_group_name_H-M 'P 1'
_symmetry_Int_Tables_number 1
_cell_length_a 4.392
_cell_length_b 4.392
_cell_length_c 25.183
_cell_angle_alpha 90.00
_cell_angle_beta 90.00
_cell_angle_gamma 120.00
loop_
_symmetry_equiv_pos_as_xyz
'x,y,z'
loop_
_atom_site_label
_atom_site_type_symbol
_atom_site_fract_x
_atom_site_fract_y
_atom_site_fract_z
_atom_site_occupancy
Ba1 Ba 0.000 0.000 0.000 1
Ba2 Ba 0.333 0.667 0.667 1
Ba3 Ba 0.667 0.333 0.333 1
Ac1 Ac 0.000 0.000 0.801 1
Ac2 Ac 0.333 0.667 0.468 1
Ac3 Ac 0.667 0.333 0.134 1
Ir1 Ir 0.000 0.000 0.410 1
Ir2 Ir 0.333 0.667 0.076 1
Ir3 Ir 0.667 0.333 0.743 1
Br1 Br 0.000 0.000 0.231 1
Br2 Br 0.333 0.667 0.898 1
Br3 Br 0.667 0.333 0.565 1

(2)
# Al2SiH | Alexandria | GGA-PBE | optimized geometry
# E = -3.75 eV/atom
# Density = 2.54 g cm⁻³
# Space group = Fm-3m (225)
data_Al2SiH
_chemical_formula_sum 'Al8 Si4 H4'
_symmetry_space_group_name_H-M 'P 1'
_symmetry_Int_Tables_number 1
_cell_length_a 6.011
_cell_length_b 6.011
_cell_length_c 6.011
_cell_angle_alpha 90.00
_cell_angle_beta 90.00
_cell_angle_gamma 90.00
loop_
_symmetry_equiv_pos_as_xyz
'x,y,z'
loop_
_atom_site_label
_atom_site_type_symbol
_atom_site_fract_x
_atom_site_fract_y
_atom_site_fract_z
_atom_site_occupancy
Al1 Al 0.250 0.250 0.250 1
Al2 Al 0.250 0.250 0.750 1
Al3 Al 0.250 0.750 0.250 1
Al4 Al 0.250 0.750 0.750 1
Al5 Al 0.750 0.250 0.250 1
Al6 Al 0.750 0.250 0.750 1
Al7 Al 0.750 0.750 0.250 1
Al8 Al 0.750 0.750 0.750 1
Si1 Si 0.000 0.000 0.000 1
Si2 Si 0.000 0.500 0.500 1
Si3 Si 0.500 0.000 0.500 1
Si4 Si 0.500 0.500 0.000 1
H1 H 0.000 0.000 0.500 1
H2 H 0.000 0.500 0.000 1
H3 H 0.500 0.000 0.000 1
H4 H 0.500 0.500 0.500 1

(3)
# KReTe2 | Alexandria | GGA-PBE | optimized geometry
# E = -4.72 eV/atom
# Density = 6.32 g cm⁻³
# Space group = Immm (71)
# Uncorrected formation energy = 23 kJ per mole of atoms
data_KReTe2
_chemical_formula_sum 'K2 Re2 Te4'
_symmetry_space_group_name_H-M 'P 1'
_symmetry_Int_Tables_number 1
_cell_length_a 3.354
_cell_length_b 6.389
_cell_length_c 11.786
_cell_angle_alpha 90.00
_cell_angle_beta 90.00
_cell_angle_gamma 90.00
loop_
_symmetry_equiv_pos_as_xyz
'x,y,z'
loop_
_atom_site_label
_atom_site_type_symbol
_atom_site_fract_x
_atom_site_fract_y
_atom_site_fract_z
_atom_site_occupancy
K1 K 0.000 0.000 0.000 1
K2 K 0.500 0.500 0.500 1
Re1 Re 0.000 0.000 0.500 1
Re2 Re 0.500 0.500 0.000 1
Te1 Te 0.000 0.500 0.174 1
Te2 Te 0.000 0.500 0.826 1
Te3 Te 0.500 0.000 0.326 1
Te4 Te 0.500 0.000 0.674 1

(4)
# LaScS2N | Alexandria | GGA-PBE | optimized geometry
# E = -6.82 eV/atom
# Density = 4.32 g cm⁻³
# Space group = P4/mmm (123)
# Uncorrected formation energy = -121 kJ per mole of atoms
data_LaScS2N
_chemical_formula_sum 'La1 Sc1 S2 N1'
_symmetry_space_group_name_H-M 'P 1'
_symmetry_Int_Tables_number 1
_cell_length_a 4.951
_cell_length_b 4.951
_cell_length_c 4.111
_cell_angle_alpha 90.00
_cell_angle_beta 90.00
_cell_angle_gamma 90.00
loop_
_symmetry_equiv_pos_as_xyz
'x,y,z'
loop_
_atom_site_label
_atom_site_type_symbol
_atom_site_fract_x
_atom_site_fract_y
_atom_site_fract_z
_atom_site_occupancy
La1 La 0.000 0.000 0.000 1
Sc1 Sc 0.500 0.500 0.500 1
S1 S 0.000 0.500 0.500 1
S2 S 0.500 0.000 0.500 1
N1 N 0.500 0.500 0.000 1

(5)
# MgAlCd | Alexandria | GGA-PBE | optimized geometry
# E = -2.06 eV/atom
# Density = 4.46 g cm⁻³
# Formation energy from the elements = 0.03 eV per atom
# Space group = I4mm (107)
data_MgAlCd
_chemical_formula_sum 'Mg2 Al2 Cd2'
_symmetry_space_group_name_H-M 'P 1'
_symmetry_Int_Tables_number 1
_cell_length_a 3.052
_cell_length_b 3.052
_cell_length_c 13.092
_cell_angle_alpha 90.00
_cell_angle_beta 90.00
_cell_angle_gamma 90.00
loop_
_symmetry_equiv_pos_as_xyz
'x,y,z'
loop_
_atom_site_label
_atom_site_type_symbol
_atom_site_fract_x
_atom_site_fract_y
_atom_site_fract_z
_atom_site_occupancy
Mg1 Mg 0.000 0.000 0.000 1
Mg2 Mg 0.500 0.500 0.500 1
Al1 Al 0.000 0.000 0.339 1
Al2 Al 0.500 0.500 0.839 1
Cd1 Cd 0.000 0.000 0.673 1
Cd2 Cd 0.500 0.500 0.173 1

(6)
# CeHoPb | Alexandria | GGA-PBE | optimized geometry
# E = -4.88 eV/atom
# Density = 9.34 g cm⁻³
# Formation energy from the elements = -0.15 eV per atom
# Space group = P3m1 (156)
data_CeHoPb
_chemical_formula_sum 'Ce1 Ho1 Pb1'
_symmetry_space_group_name_H-M 'P 1'
_symmetry_Int_Tables_number 1
_cell_length_a 5.377
_cell_length_b 5.377
_cell_length_c 3.639
_cell_angle_alpha 90.00
_cell_angle_beta 90.00
_cell_angle_gamma 120.00
loop_
_symmetry_equiv_pos_as_xyz
'x,y,z'
loop_
_atom_site_label
_atom_site_type_symbol
_atom_site_fract_x
_atom_site_fract_y
_atom_site_fract_z
_atom_site_occupancy
Ce1 Ce 0.000 0.000 0.000 1
Ho1 Ho 0.333 0.667 0.544 1
Pb1 Pb 0.667 0.333 0.366 1